ErLu2V: optimized geometry, PBE.

The structure in extended XYZ format:
```
4
Lattice="3.385 0.000 0.000 1.692 2.931 0.000 1.692 0.977 10.397" Properties=species:S:1:pos:R:3 pbc="T T T"
V 0.000 0.000 0.000
Lu 1.692 0.977 2.230
Lu 5.077 2.931 8.167
Er 3.385 1.954 5.198
```

Values from the calculation:
SG = R-3m (166)
formation energy = 0.33 eV per atom

=====

ErLuW4: optimized geometry, PBE.

The structure in extended XYZ format:
```
6
Lattice="5.509 0.000 0.000 2.754 4.771 0.000 2.754 1.590 4.498" Properties=species:S:1:pos:R:3 pbc="T T T"
Lu 0.000 0.000 0.000
W 5.509 3.180 0.562
W 5.509 1.590 2.811
W 6.886 3.976 2.811
W 4.131 3.976 2.811
Er 2.754 1.590 1.124
```

Values from the calculation:
SG = F-43m (216)
formation energy = 0.09 eV per atom

=====

Er2LuW: optimized geometry, PBE.

The structure in extended XYZ format:
```
4
Lattice="-1.512 3.294 3.514 -1.556 -1.655 4.509 3.050 0.813 4.178" Properties=species:S:1:pos:R:3 pbc="T T T"
Lu -0.009 1.226 6.100
W 0.000 0.000 0.000
Er -0.079 0.608 3.023
Er 0.061 1.844 9.178
```

Values from the calculation:
SG = R-3m (166)
formation energy = 0.45 eV per atom

=====

Y2ErLu: optimized geometry, PBE.

The structure in extended XYZ format:
```
4
Lattice="3.464 0.000 0.000 1.732 3.000 0.000 1.732 1.000 12.318" Properties=species:S:1:pos:R:3 pbc="T T T"
Y 1.732 1.000 9.004
Y 5.196 3.000 3.315
Lu 0.000 0.000 0.000
Er 3.464 2.000 6.159
```

Values from the calculation:
SG = R-3m (166)
formation energy = 0.21 eV per atom

=====

Y2ErLu: optimized geometry, PBE.

The structure in extended XYZ format:
```
4
Lattice="-4.508 -1.542 -1.476 2.023 -1.978 -4.112 0.686 -4.315 2.413" Properties=species:S:1:pos:R:3 pbc="T T T"
Y 0.343 -2.158 1.206
Y 1.011 -0.989 -2.056
Lu -2.254 -0.771 -0.738
Er -0.900 -3.917 -1.588
```

Values from the calculation:
SG = P4/mmm (123)
formation energy = 0.03 eV per atom

=====

Y2ErLu: optimized geometry, PBE.

The structure in extended XYZ format:
```
4
Lattice="3.530 0.000 0.000 0.000 3.530 0.000 0.000 0.000 9.975" Properties=species:S:1:pos:R:3 pbc="T T T"
Y 0.000 0.000 7.495
Y 0.000 0.000 2.480
Lu 1.765 1.765 0.000
Er 1.765 1.765 4.988
```

Values from the calculation:
SG = P4/mmm (123)
formation energy = 0.03 eV per atom

=====

Y2ErLu: optimized geometry, PBE.

The structure in extended XYZ format:
```
4
Lattice="5.636 0.000 0.000 2.818 4.881 0.000 2.818 1.627 4.602" Properties=species:S:1:pos:R:3 pbc="T T T"
Y 2.818 1.627 1.150
Y 8.454 4.881 3.451
Lu 5.636 3.254 2.301
Er 0.000 0.000 0.000
```

Values from the calculation:
SG = Fm-3m (225)
formation energy = 0.13 eV per atom

=====

YErLuZr: optimized geometry, PBE.

The structure in extended XYZ format:
```
4
Lattice="5.458 0.000 0.000 2.729 4.727 0.000 2.729 1.576 4.457" Properties=species:S:1:pos:R:3 pbc="T T T"
Y 8.187 4.727 3.343
Lu 0.000 0.000 0.000
Zr 2.729 1.576 1.114
Er 5.458 3.151 2.228
```

Values from the calculation:
SG = F-43m (216)
formation energy = 0.20 eV per atom

=====

ErLuZn: optimized geometry, PBE.

The structure in extended XYZ format:
```
3
Lattice="-0.938 -3.142 1.253 1.990 -1.564 -2.432 4.167 2.456 4.363" Properties=species:S:1:pos:R:3 pbc="T T T"
Zn 2.070 -2.319 0.652
Lu 0.221 0.005 0.177
Er 2.928 0.065 2.354
```

Values from the calculation:
SG = I4mm (107)
formation energy = -0.21 eV per atom

=====

ErLuZn4: optimized geometry, PBE.

The structure in extended XYZ format:
```
6
Lattice="-3.932 -3.634 -0.750 0.116 -4.698 2.673 -3.580 -0.960 3.936" Properties=species:S:1:pos:R:3 pbc="T T T"
Zn -2.832 -5.328 1.694
Zn -4.681 -3.458 2.325
Zn -4.623 -5.808 3.662
Zn -2.656 -3.990 4.037
Lu -1.849 -2.323 1.465
Er 0.000 0.000 0.000
```

Values from the calculation:
SG = F-43m (216)
formation energy = -0.33 eV per atom

=====

ErLuZn2: optimized geometry, PBE.

The structure in extended XYZ format:
```
4
Lattice="3.540 0.000 0.000 0.000 4.956 0.000 0.000 0.000 4.956" Properties=species:S:1:pos:R:3 pbc="T T T"
Zn 0.000 0.000 2.478
Zn 0.000 2.478 0.000
Lu 1.770 0.000 0.000
Er 1.770 2.478 2.478
```

Values from the calculation:
SG = P4/mmm (123)
formation energy = -0.35 eV per atom

=====

ErLuZn2: optimized geometry, PBE.

The structure in extended XYZ format:
```
4
Lattice="-1.638 -0.329 4.684 -3.048 -3.702 1.314 1.644 -3.642 2.959" Properties=species:S:1:pos:R:3 pbc="T T T"
Zn -1.404 -7.345 4.273
Zn -1.521 -3.837 4.478
Lu -0.760 -1.918 2.239
Er -2.281 -5.755 6.718
```

Values from the calculation:
SG = Fm-3m (225)
formation energy = -0.35 eV per atom